Entry 1:
Density functional theory data (PBE-GGA) for TlCo2Cl after structural relaxation.

Computed properties:
The relative energy among the computed polymorphs comes out at 317 meV/atom. The density of states at the Fermi level comes out at 5.486 states/eV/cell. Its space-group type is No. 71. The electronic total energy comes out at -4.053 eV/atom.

Cell: 5.2218 5.2218 5.2218 Å, 146.84 116.18 73.84°
Element x y z (fractional)
1 Tl 0.0000 0.0000 0.0000
2 Co 0.2738 0.7738 0.5000
3 Co 0.7262 0.2262 0.5000
4 Cl 0.5000 0.5000 0.0000


Entry 2:
Density functional theory data (PBE-GGA) for NaCaScC2 after structural relaxation.

Computed properties:
The density of states at the Fermi level comes out at 4.932 states/eV/cell. Its space-group type is No. 123. The electronic total energy comes out at -3.352 eV/atom.

Cell: 4.6689 4.6689 4.8880 Å, 90.00 90.00 90.00°
Element x y z (fractional)
1 Na 0.0000 0.0000 0.0000
2 Ca 0.5000 0.5000 0.5000
3 Sc 0.5000 0.5000 0.0000
4 C 0.0000 0.5000 0.5000
5 C 0.5000 0.0000 0.5000


Entry 3:
Density functional theory data (PBE-GGA) for PrSm2Pb after structural relaxation.

Computed properties:
The relative energy among the computed polymorphs comes out at 175 meV/atom. The density of states at the Fermi level comes out at 3.403 states/eV/cell. Its space-group type is No. 160. The electronic total energy comes out at -4.634 eV/atom.

Cell: 11.5083 11.5083 11.5083 Å, 18.37 18.37 18.37°
Element x y z (fractional)
1 Pr 0.0000 0.0000 0.0000
2 Sm 0.2451 0.2451 0.2451
3 Sm 0.4214 0.4214 0.4214
4 Pb 0.8336 0.8336 0.8336


Entry 4:
Density functional theory data (PBE-GGA) for LiSm5Cd6 after structural relaxation.

Computed properties:
The density of states at the Fermi level comes out at 11.749 states/eV/cell. Its space-group type is No. 71. The electronic total energy comes out at -2.877 eV/atom.

Cell: 9.1798 9.1798 9.1798 Å, 146.49 131.37 60.35°
Element x y z (fractional)
1 Li 0.0000 0.0000 0.0000
2 Sm 0.1735 0.6735 0.5000
3 Sm 0.3353 0.3353 0.0000
4 Sm 0.5000 0.0000 0.5000
5 Sm 0.6647 0.6647 0.0000
6 Sm 0.8265 0.3265 0.5000
7 Cd 0.0745 0.8445 0.2300
8 Cd 0.2247 0.5000 0.7247
9 Cd 0.3854 0.1555 0.2300
10 Cd 0.6146 0.8445 0.7700
11 Cd 0.7753 0.5000 0.2753
12 Cd 0.9255 0.1555 0.7700


Entry 5:
Density functional theory data (PBE-GGA) for In3IN after structural relaxation.

Computed properties:
The relative energy among the computed polymorphs comes out at 0 meV/atom. The density of states at the Fermi level comes out at 3.362 states/eV/cell. Its space-group type is No. 221. The electronic total energy comes out at -3.229 eV/atom.

Cell: 5.0849 5.0849 5.0849 Å, 90.00 90.00 90.00°
Element x y z (fractional)
1 In 0.0000 0.0000 0.5000
2 In 0.0000 0.5000 0.0000
3 In 0.5000 0.0000 0.0000
4 I 0.5000 0.5000 0.5000
5 N 0.0000 0.0000 0.0000


Entry 6:
Density functional theory data (PBE-GGA) for PmTh2Mg6 after structural relaxation.

Computed properties:
The density of states at the Fermi level comes out at 7.734 states/eV/cell. Its space-group type is No. 166. The electronic total energy comes out at -3.252 eV/atom.

Cell: 6.2458 6.2458 6.2458 Å, 94.13 94.13 94.13°
Element x y z (fractional)
1 Pm 0.0000 0.0000 0.0000
2 Th 0.3405 0.3405 0.3405
3 Th 0.6595 0.6595 0.6595
4 Mg 0.1651 0.5000 0.8349
5 Mg 0.1651 0.8349 0.5000
6 Mg 0.5000 0.1651 0.8349
7 Mg 0.5000 0.8349 0.1651
8 Mg 0.8349 0.1651 0.5000
9 Mg 0.8349 0.5000 0.1651


Entry 7:
Density functional theory data (PBE-GGA) for MoIrI2Cl after structural relaxation.

Computed properties:
The density of states at the Fermi level comes out at 11.742 states/eV/cell. Its space-group type is No. 123. The electronic total energy comes out at -3.031 eV/atom.

Cell: 6.3549 6.3549 4.5036 Å, 90.00 90.00 90.00°
Element x y z (fractional)
1 Mo 0.0000 0.0000 0.0000
2 Ir 0.5000 0.5000 0.0000
3 I 0.0000 0.5000 0.5000
4 I 0.5000 0.0000 0.5000
5 Cl 0.0000 0.0000 0.5000


Entry 8:
Density functional theory data (PBE-GGA) for NaSr2PuO6 after structural relaxation.

Computed properties:
Its space-group type is No. 14. The electronic total energy comes out at -7.497 eV/atom.

Cell: 5.9168 6.1327 10.2175 Å, 90.00 124.62 90.00°
Element x y z (fractional)
1 Na 0.0000 0.0000 0.0000
2 Na 0.0000 0.5000 0.5000
3 Sr 0.2299 0.0540 0.7449
4 Sr 0.2299 0.4460 0.2449
5 Sr 0.7701 0.5540 0.7551
6 Sr 0.7701 0.9460 0.2551
7 Pu 0.5000 0.0000 0.5000
8 Pu 0.5000 0.5000 0.0000
9 O 0.1787 0.1803 0.4550
10 O 0.1787 0.3197 0.9550
11 O 0.2601 0.7306 0.4346
12 O 0.2601 0.7694 0.9346
13 O 0.3797 0.0471 0.2741
14 O 0.3797 0.4529 0.7741
15 O 0.6203 0.5471 0.2259
16 O 0.6203 0.9529 0.7259
17 O 0.7399 0.2306 0.0654
18 O 0.7399 0.2694 0.5654
19 O 0.8213 0.6803 0.0450
20 O 0.8213 0.8197 0.5450


Entry 9:
Density functional theory data (PBE-GGA) for Ba8H2Au after structural relaxation.

Computed properties:
The density of states at the Fermi level comes out at 9.524 states/eV/cell. Its space-group type is No. 12. The electronic total energy comes out at -2.566 eV/atom.

Cell: 8.9424 8.9424 7.6119 Å, 93.27 93.27 63.45°
Element x y z (fractional)
1 Ba 0.1238 0.6619 0.7259
2 Ba 0.1570 0.1570 0.8096
3 Ba 0.3381 0.8762 0.2741
4 Ba 0.3530 0.3530 0.2291
5 Ba 0.6470 0.6470 0.7709
6 Ba 0.6619 0.1238 0.7259
7 Ba 0.8430 0.8430 0.1904
8 Ba 0.8762 0.3381 0.2741
9 H 0.1833 0.1833 0.1569
10 H 0.8167 0.8167 0.8431
11 Au 0.0000 0.0000 0.5000


Entry 10:
Density functional theory data (PBE-GGA) for Cs4NaI4 after structural relaxation.

Computed properties:
The density of states at the Fermi level comes out at 4.870 states/eV/cell. Its space-group type is No. 137. The electronic total energy comes out at -2.461 eV/atom.

Cell: 11.3918 11.3918 8.3395 Å, 90.00 90.00 90.00°
Element x y z (fractional)
1 Cs 0.0247 0.2500 0.0604
2 Cs 0.2500 0.0247 0.5604
3 Cs 0.2500 0.4753 0.5604
4 Cs 0.4753 0.2500 0.0604
5 Cs 0.5247 0.7500 0.9396
6 Cs 0.7500 0.5247 0.4396
7 Cs 0.7500 0.9753 0.4396
8 Cs 0.9753 0.7500 0.9396
9 Na 0.2500 0.7500 0.2500
10 Na 0.7500 0.2500 0.7500
11 I 0.0232 0.7500 0.4644
12 I 0.2500 0.5232 0.0356
13 I 0.2500 0.9768 0.0356
14 I 0.4768 0.7500 0.4644
15 I 0.5232 0.2500 0.5356
16 I 0.7500 0.0232 0.9644
17 I 0.7500 0.4768 0.9644
18 I 0.9768 0.2500 0.5356


Entry 11:
Density functional theory data (PBE-GGA) for UZnPt after structural relaxation.

Computed properties:
The density of states at the Fermi level comes out at 7.616 states/eV/cell. Its space-group type is No. 11. The electronic total energy comes out at -6.641 eV/atom.

Cell: 4.1410 3.4456 7.9293 Å, 90.00 98.48 90.00°
Element x y z (fractional)
1 U 0.1714 0.2500 0.1083
2 U 0.8286 0.7500 0.8917
3 Zn 0.2452 0.7500 0.4791
4 Zn 0.7548 0.2500 0.5209
5 Pt 0.3233 0.2500 0.7417
6 Pt 0.6767 0.7500 0.2583


Entry 12:
Density functional theory data (PBE-GGA) for TlFeRe after structural relaxation.

Computed properties:
The density of states at the Fermi level comes out at 2.388 states/eV/cell. Its space-group type is No. 107. The electronic total energy comes out at -7.157 eV/atom.

Cell: 6.1656 6.1656 6.1656 Å, 152.73 152.73 38.95°
Element x y z (fractional)
1 Tl 0.0000 0.0000 0.0000
2 Fe 0.6820 0.6820 0.0000
3 Re 0.3018 0.3018 0.0000


Entry 13:
Density functional theory data (PBE-GGA) for K2LiIBr2 after structural relaxation.

Computed properties:
The density of states at the Fermi level comes out at 0.000 states/eV/cell. Its space-group type is No. 123. The electronic total energy comes out at -2.987 eV/atom.

Cell: 5.1672 5.1672 8.1143 Å, 90.00 90.00 90.00°
Element x y z (fractional)
1 K 0.0000 0.0000 0.2410
2 K 0.0000 0.0000 0.7590
3 Li 0.5000 0.5000 0.5000
4 I 0.5000 0.5000 0.0000
5 Br 0.0000 0.5000 0.5000
6 Br 0.5000 0.0000 0.5000